# ZrMnH2Cl | Alexandria | GGA-PBE | relaxed
data_ZrMnH2Cl
_space_group_name_H-M_alt 'P 4/m m m'
_space_group_IT_number 123
_space_group_name_Hall '-P 4 2'
_cell_length_a 3.736
_cell_length_b 3.736
_cell_length_c 5.330
_cell_angle_alpha 90.00
_cell_angle_beta 90.00
_cell_angle_gamma 90.00
loop_
_atom_site_label
_atom_site_type_symbol
_atom_site_fract_x
_atom_site_fract_y
_atom_site_fract_z
_atom_site_occupancy
Zr1 Zr 0.000 0.000 0.000 1
Mn1 Mn 0.500 0.500 0.000 1
H1 H 0.000 0.500 0.500 1
Cl1 Cl 0.000 0.000 0.500 1
# Total magnetization = 2.3 μB/cell
# VASP energy = -4.33 eV/atom

***

# MoH12Cl6 | Alexandria | GGA-PBE | relaxed
data_MoH12Cl6
_space_group_name_H-M_alt 'R -3'
_space_group_IT_number 148
_space_group_name_Hall '-R 3'
_cell_length_a 9.3448
_cell_length_b 9.3448
_cell_length_c 15.1737
_cell_angle_alpha 90.00
_cell_angle_beta 90.00
_cell_angle_gamma 120.00
loop_
_atom_site_label
_atom_site_type_symbol
_atom_site_fract_x
_atom_site_fract_y
_atom_site_fract_z
_atom_site_occupancy
Mo1 Mo 0.0000 0.0000 0.0000 1
H1 H 0.0053 0.4637 0.0056 1
H2 H 0.0305 0.0679 0.1905 1
Cl1 Cl 0.0987 0.5372 0.7636 1
# Total magnetization = 6.0 μB/cell
# VASP energy = -3.45 eV/atom

***

# MoHCl2 | Alexandria | GGA-PBE | relaxed
data_MoHCl2
_space_group_name_H-M_alt 'R -3 m'
_space_group_IT_number 166
_space_group_name_Hall '-R 3 2"'
_cell_length_a 3.0665
_cell_length_b 3.0665
_cell_length_c 21.6662
_cell_angle_alpha 90.00
_cell_angle_beta 90.00
_cell_angle_gamma 120.00
loop_
_atom_site_label
_atom_site_type_symbol
_atom_site_fract_x
_atom_site_fract_y
_atom_site_fract_z
_atom_site_occupancy
Mo1 Mo 0.0000 0.0000 0.0000 1
H1 H 0.0000 0.0000 0.5000 1
Cl1 Cl 0.0000 0.0000 0.1053 1
# Total magnetization = 0.0 μB/cell
# Polymorph energy (0 for the lowest one) = 208.9 meV per atom

***

# MoHCl3 | Alexandria | GGA-PBE | relaxed
data_MoHCl3
_space_group_name_H-M_alt 'P m -3 m'
_space_group_IT_number 221
_space_group_name_Hall '-P 4 2 3'
_cell_length_a 4.377
_cell_length_b 4.377
_cell_length_c 4.377
_cell_angle_alpha 90.00
_cell_angle_beta 90.00
_cell_angle_gamma 90.00
loop_
_atom_site_label
_atom_site_type_symbol
_atom_site_fract_x
_atom_site_fract_y
_atom_site_fract_z
_atom_site_occupancy
Mo1 Mo 0.000 0.000 0.000 1
H1 H 0.500 0.500 0.500 1
Cl1 Cl 0.000 0.500 0.500 1
# Total magnetization = 3.9 μB/cell
# Polymorph energy (0 for the lowest one) = 1295.9 meV per atom

***

| no. | calculated density (g/cm3) |
| --- | --- |
| 1 | 4.10 |
| 2 | 1.39 |
| 3 | 4.74 |
| 4 | 4.03 |